[1]
## Pr2MgTcH6 (PBE)

Data for an optimized crystal structure of Pr2MgTcH6.

energy: -0.327 Ry/atom

abc: 5.2630 5.2630 8.2735
angles: 90.00 90.00 90.00
Space group I4/mmm (No. 139)
One atom of each set of equivalent atoms:
Pr  0.0000  0.5000  0.2500 [4 per cell]
Mg  0.0000  0.0000  0.0000 [2 per cell]
Tc  0.0000  0.0000  0.5000 [2 per cell]
H  0.0000  0.0000  0.2750 [4 per cell]
H  0.2376  0.2376  0.5000 [8 per cell]

[2]
## PrMgZn2H8 (PBE)

Data for an optimized crystal structure of PrMgZn2H8.

energy: -0.225 Ry/atom

abc: 4.5965 4.5965 6.9752
angles: 90.00 90.00 120.00
Space group P-3 (No. 147)
One atom of each set of equivalent atoms:
Pr  0.0000  0.0000  0.0000 [1 per cell]
Mg  0.0000  0.0000  0.5000 [1 per cell]
Zn  0.3333  0.6667  0.7411 [2 per cell]
H  0.0014  0.6962  0.3059 [6 per cell]
H  0.3333  0.6667  0.9842 [2 per cell]

[3]
## MgHPt4 (PBE)

Data for an optimized crystal structure of MgHPt4.

energy: -0.376 Ry/atom

abc: 10.4201 4.8357 7.1466
angles: 90.00 111.91 90.00
Space group C2/c (No. 15)
One atom of each set of equivalent atoms:
Mg  0.0000  0.1586  0.2500 [4 per cell]
H  0.2500  0.2500  0.0000 [4 per cell]
Pt  0.0846  0.3378  0.9458 [8 per cell]
Pt  0.2019  0.1687  0.6540 [8 per cell]

[4]
## MgH4Pt2 (PBE)

Data for an optimized crystal structure of MgH4Pt2.

energy: -0.297 Ry/atom

abc: 7.3392 7.3392 4.9297
angles: 90.00 90.00 90.00
Space group I-42d (No. 122)
One atom of each set of equivalent atoms:
Mg  0.0000  0.0000  0.0000 [4 per cell]
H  0.0106  0.7031  0.8666 [16 per cell]
Pt  0.1596  0.2500  0.6250 [8 per cell]